(1)
A relaxed Tb4GaPd2 crystal, computed with GGA-PBE.

Computed properties:
The value obtained for the total moment is 0.0000 μB per atom. The volume comes out at 26.020 Å³/atom. Its formation energy is -54.2 kJ/mol of atoms. Its crystal system is trigonal. The value obtained for the offset from the most stable computed form is 48 meV/atom. The space-group type is R-3m (166). The density of states at the Fermi level comes out at 4.95 states/eV/f.u.

Cell lengths 9.5699, 9.5699, 9.5699 Å; angles 28.99, 28.99, 28.99 degrees
Positions (direct):
Tb (0.1209, 0.1209, 0.1209)
Tb (0.2947, 0.2947, 0.2947)
Tb (0.7053, 0.7053, 0.7053)
Tb (0.8791, 0.8791, 0.8791)
Ga (0.5000, 0.5000, 0.5000)
Pd (0.4034, 0.4034, 0.4034)
Pd (0.5966, 0.5966, 0.5966)

=====

(2)
A relaxed TbGa2Pd crystal, computed with GGA-PBE.

Computed properties:
The value obtained for the total moment is 0.0006 μB per atom. The volume comes out at 18.698 Å³/atom. Its formation energy is -57.4 kJ/mol of atoms. Its crystal system is tetragonal. The space-group type is P4/mmm (123). The density of states at the Fermi level comes out at 2.51 states/eV/f.u.

Cell lengths 3.2982, 3.2982, 6.8753 Å; angles 90.00, 90.00, 90.00 degrees
Positions (direct):
Tb (0.0000, 0.0000, 0.0000)
Ga (0.5000, 0.5000, 0.2985)
Ga (0.5000, 0.5000, 0.7015)
Pd (0.0000, 0.0000, 0.5000)

=====

(3)
A relaxed Tb3Ga12Pd crystal, computed with GGA-PBE.

Computed properties:
The value obtained for the total moment is 0.0000 μB per atom. The volume comes out at 18.901 Å³/atom. Its formation energy is -43.8 kJ/mol of atoms. Its crystal system is tetragonal. The space-group type is P4/mmm (123). The density of states at the Fermi level comes out at 6.60 states/eV/f.u.

Cell lengths 4.3074, 4.3074, 16.2996 Å; angles 90.00, 90.00, 90.00 degrees
Positions (direct):
Tb (0.0000, 0.0000, 0.0000)
Tb (0.0000, 0.0000, 0.2650)
Tb (0.0000, 0.0000, 0.7350)
Ga (0.0000, 0.5000, 0.1315)
Ga (0.0000, 0.5000, 0.3943)
Ga (0.0000, 0.5000, 0.6057)
Ga (0.0000, 0.5000, 0.8685)
Ga (0.5000, 0.0000, 0.1315)
Ga (0.5000, 0.0000, 0.3943)
Ga (0.5000, 0.0000, 0.6057)
Ga (0.5000, 0.0000, 0.8685)
Ga (0.5000, 0.5000, 0.0000)
Ga (0.5000, 0.5000, 0.2577)
Ga (0.5000, 0.5000, 0.5000)
Ga (0.5000, 0.5000, 0.7423)
Pd (0.0000, 0.0000, 0.5000)

=====

(4)
A relaxed Tb3Ga2Pd crystal, computed with GGA-PBE.

Computed properties:
The value obtained for the total moment is 0.0000 μB per atom. The volume comes out at 24.047 Å³/atom. Its formation energy is -64.1 kJ/mol of atoms. Its crystal system is orthorhombic. The space-group type is Pnma (62). The density of states at the Fermi level comes out at 5.63 states/eV/f.u.

Cell lengths 11.7755, 4.4284, 11.0674 Å; angles 90.00, 90.00, 90.00 degrees
Positions (direct):
Tb (0.0482, 0.2500, 0.1265)
Tb (0.1220, 0.7500, 0.5650)
Tb (0.2202, 0.2500, 0.8098)
Tb (0.2798, 0.7500, 0.3098)
Tb (0.3780, 0.2500, 0.0650)
Tb (0.4518, 0.7500, 0.6265)
Tb (0.5482, 0.2500, 0.3735)
Tb (0.6220, 0.7500, 0.9350)
Tb (0.7202, 0.2500, 0.6902)
Tb (0.7798, 0.7500, 0.1902)
Tb (0.8780, 0.2500, 0.4350)
Tb (0.9518, 0.7500, 0.8735)
Ga (0.0149, 0.7500, 0.3059)
Ga (0.1890, 0.7500, 0.0165)
Ga (0.3110, 0.2500, 0.5165)
Ga (0.4851, 0.2500, 0.8059)
Ga (0.5149, 0.7500, 0.1941)
Ga (0.6890, 0.7500, 0.4835)
Ga (0.8110, 0.2500, 0.9835)
Ga (0.9851, 0.2500, 0.6941)
Pd (0.1241, 0.2500, 0.3817)
Pd (0.3759, 0.7500, 0.8817)
Pd (0.6241, 0.2500, 0.1183)
Pd (0.8759, 0.7500, 0.6183)

=====

(5)
A relaxed Tb5GaPd4 crystal, computed with GGA-PBE.

Computed properties:
The value obtained for the total moment is 0.0000 μB per atom. The volume comes out at 22.124 Å³/atom. Its formation energy is -78.1 kJ/mol of atoms. Its crystal system is tetragonal. The space-group type is P4/mmm (123). The density of states at the Fermi level comes out at 7.52 states/eV/f.u.

Cell lengths 3.5321, 3.5321, 17.7334 Å; angles 90.00, 90.00, 90.00 degrees
Positions (direct):
Tb (0.0000, 0.0000, 0.0000)
Tb (0.0000, 0.0000, 0.1988)
Tb (0.0000, 0.0000, 0.3965)
Tb (0.0000, 0.0000, 0.6035)
Tb (0.0000, 0.0000, 0.8012)
Ga (0.5000, 0.5000, 0.5000)
Pd (0.5000, 0.5000, 0.0993)
Pd (0.5000, 0.5000, 0.2979)
Pd (0.5000, 0.5000, 0.7021)
Pd (0.5000, 0.5000, 0.9007)

=====

(6)
A relaxed TbGa6Pd2 crystal, computed with GGA-PBE.

Computed properties:
The value obtained for the total moment is 0.0000 μB per atom. The volume comes out at 18.452 Å³/atom. Its formation energy is -35.6 kJ/mol of atoms. Its crystal system is orthorhombic. The space-group type is Immm (71). The density of states at the Fermi level comes out at 3.03 states/eV/f.u.

Cell lengths 7.2753, 7.2753, 7.2753 Å; angles 148.24, 124.02, 65.81 degrees
Positions (direct):
Tb (0.0000, 0.0000, 0.0000)
Ga (0.0015, 0.3085, 0.6930)
Ga (0.3228, 0.5000, 0.8228)
Ga (0.3846, 0.6915, 0.6930)
Ga (0.6154, 0.3085, 0.3070)
Ga (0.6772, 0.5000, 0.1772)
Ga (0.9985, 0.6915, 0.3070)
Pd (0.3799, 0.8799, 0.5000)
Pd (0.6201, 0.1201, 0.5000)

=====

- Which formula does entry 2 have?
  TbGa2Pd

=====

- Which formula does entry 5 have?
  Tb5GaPd4